1.
# GGA-PBE LiHfTe2O8, relaxed
data_LiHfTe2O8
_chemical_formula_sum 'Li1 Hf1 Te2 O8'
_cell_length_a 5.980
_cell_length_b 5.980
_cell_length_c 5.980
_cell_angle_alpha 107.78
_cell_angle_beta 107.78
_cell_angle_gamma 112.92
_space_group_name_H-M_alt 'P 1'
_space_group_IT_number 1
loop_
_space_group_symop_operation_xyz
'x,y,z'
loop_
_atom_site_label
_atom_site_fract_x
_atom_site_fract_y
_atom_site_fract_z
Li1 0.000 0.000 0.000
Hf1 0.750 0.250 0.500
Te1 0.250 0.750 0.500
Te2 0.500 0.500 0.000
O1 0.052 0.363 0.312
O2 0.052 0.740 0.688
O3 0.105 0.314 0.791
O4 0.260 0.948 0.312
O5 0.523 0.314 0.209
O6 0.637 0.948 0.688
O7 0.686 0.477 0.791
O8 0.686 0.895 0.209
# **ΔE_f (raw)**: -1489 meV/atom
# **Theoretical density**: 5.752 g/cm3
# **Total DFT energy (no corrections)**: -6.31 eV per atom

2.
# GGA-PBE LiHfTeO6, relaxed
data_LiHfTeO6
_chemical_formula_sum 'Li2 Hf2 Te2 O12'
_cell_length_a 4.835
_cell_length_b 4.835
_cell_length_c 9.366
_cell_angle_alpha 90.00
_cell_angle_beta 90.00
_cell_angle_gamma 90.00
_space_group_name_H-M_alt 'P 1'
_space_group_IT_number 1
loop_
_space_group_symop_operation_xyz
'x,y,z'
loop_
_atom_site_label
_atom_site_fract_x
_atom_site_fract_y
_atom_site_fract_z
Li1 0.000 0.000 0.000
Li2 0.500 0.500 0.500
Hf1 0.000 0.000 0.669
Hf2 0.500 0.500 0.169
Te1 0.000 0.000 0.330
Te2 0.500 0.500 0.830
O1 0.186 0.186 0.487
O2 0.196 0.196 0.181
O3 0.216 0.216 0.822
O4 0.284 0.716 0.322
O5 0.304 0.696 0.681
O6 0.314 0.686 0.987
O7 0.686 0.314 0.987
O8 0.696 0.304 0.681
O9 0.716 0.284 0.322
O10 0.784 0.784 0.822
O11 0.804 0.804 0.181
O12 0.814 0.814 0.487
# **ΔE_f (raw)**: -1864 meV/atom
# **Theoretical density**: 6.205 g/cm3
# **Total DFT energy (no corrections)**: -6.84 eV per atom